Record 1
## Li2In2RuO6 (PBE-GGA)

Data for Li2In2RuO6 after structural relaxation.

The space group is C2/m (No. 12) and the conventional cell measures 5.5647, 9.7089 and 5.1838 Å, with angles of 90.00, 104.11 and 90.00 degrees. Symmetry generates all atoms from Li at (0.0000, 0.1345, 0.0000), In at (0.0000, 0.3363, 0.5000), Ru at (0.0000, 0.0000, 0.5000), O at (0.1967, 0.1565, 0.7160) and O at (0.2494, 0.0000, 0.2776).

The density of states at the Fermi level comes out at 3.9 states/eV per cell. For the formation energy from raw total energies, the calculation gives -1.442 eV per atom. The value obtained for the magnetic moment is 0.18 μB per atom. For the total energy, the calculation gives -5.835 eV/atom.

Record 2
## CsTl2Sn6 (PBE-GGA)

Data for CsTl2Sn6 after structural relaxation.

The space group is P4/mmm (No. 123) and the conventional cell measures 4.9516, 4.9516 and 12.1281 Å, with angles of 90.00, 90.00 and 90.00 degrees. Symmetry generates all atoms from Cs at (0.0000, 0.0000, 0.0000), Tl at (0.5000, 0.5000, 0.1461), Sn at (0.0000, 0.0000, 0.5000), Sn at (0.0000, 0.5000, 0.3165) and Sn at (0.5000, 0.5000, 0.5000).

The density of states at the Fermi level comes out at 2.5 states/eV per cell. For the formation energy from the elements, the calculation gives -0.021 eV per atom. The value obtained for the magnetic moment is 0.00 μB per atom. For the total energy, the calculation gives -3.310 eV/atom.

Record 3
## BeAl2F (PBE-GGA)

Data for BeAl2F after structural relaxation.

The space group is Fm-3m (No. 225) and the conventional cell measures 5.9823, 5.9823 and 5.9823 Å, with angles of 90.00, 90.00 and 90.00 degrees. Symmetry generates all atoms from Be at (0.0000, 0.0000, 0.0000), Al at (0.2500, 0.2500, 0.2500) and F at (0.0000, 0.0000, 0.5000).

The density of states at the Fermi level comes out at 13.6 states/eV per cell. For the energy above the lowest structure with this stoichiometry, the calculation gives 0.0370 eV/atom. For the formation energy from raw total energies, the calculation gives -0.259 eV per atom. The value obtained for the magnetic moment is 0.03 μB per atom. For the total energy, the calculation gives -3.530 eV/atom.

Record 4
## SbWAu2 (PBE-GGA)

Data for SbWAu2 after structural relaxation.

The space group is P2/m (No. 10) and the conventional cell measures 2.8909, 4.8430 and 5.6151 Å, with angles of 90.00, 104.42 and 90.00 degrees. Symmetry generates all atoms from Sb at (0.0000, 0.0000, 0.0000), W at (0.5000, 0.0000, 0.5000) and Au at (0.0728, 0.5000, 0.7429).

The density of states at the Fermi level comes out at 2.4 states/eV per cell. For the formation energy from raw total energies, the calculation gives 0.565 eV per atom. The value obtained for the magnetic moment is 0.00 μB per atom. For the total energy, the calculation gives -5.342 eV/atom.

Record 5
## Ce5Tl2Hg (PBE-GGA)

Data for Ce5Tl2Hg after structural relaxation.

The space group is P1 (No. 1) and the conventional cell measures 6.6063, 6.6091 and 6.6931 Å, with angles of 94.96, 117.22 and 116.68 degrees. Symmetry generates all atoms from Ce at (0.0000, 0.0000, 0.0000), Ce at (0.0155, 0.8875, 0.4955), Ce at (0.0432, 0.4202, 0.9433), Ce at (0.5223, 0.8990, 0.9423), Ce at (0.6077, 0.4806, 0.4960), Tl at (0.5067, 0.9312, 0.4368), Tl at (0.5519, 0.4125, 0.9653) and Hg at (0.0437, 0.3900, 0.4355).

The density of states at the Fermi level comes out at 19.3 states/eV per cell. For the energy above the lowest structure with this stoichiometry, the calculation gives 0.0000 eV/atom. For the formation energy from the elements, the calculation gives -0.210 eV per atom. The value obtained for the magnetic moment is 0.32 μB per atom. For the total energy, the calculation gives -4.548 eV/atom.

Record 6
## La4Ni2N (PBE-GGA)

Data for La4Ni2N after structural relaxation.

The space group is C2/m (No. 12) and the conventional cell measures 13.1596, 3.7764 and 8.0859 Å, with angles of 90.00, 124.99 and 90.00 degrees. Symmetry generates all atoms from La at (0.0889, 0.0000, 0.3800), La at (0.1525, 0.5000, 0.0563), Ni at (0.1115, 0.5000, 0.6709) and N at (0.0000, 0.0000, 0.0000).

The density of states at the Fermi level comes out at 12.9 states/eV per cell. For the energy above the lowest structure with this stoichiometry, the calculation gives 0.0000 eV/atom. For the formation energy from raw total energies, the calculation gives -0.538 eV per atom. The value obtained for the magnetic moment is 0.00 μB per atom. For the total energy, the calculation gives -6.195 eV/atom.